1.
A geometry-optimized Ce2Co3B2 structure, computed with PBE.

* energy relative to the elements: -267 meV/atom
* DOS(E_F): 1.2349 states/eV/atom

a b c (Å): 9.8237 3.2750 6.4244
angles (deg): 90.00 116.30 90.00
With the nearest neighbours (Å) after each atom.
Space group C2/m (No. 12)
Inequivalent atoms, fractional coordinates:
Ce (0.1403, 0.0000, 0.2971) [4 per cell]  4 B 2.69-2.91, 6 Co 2.81-2.97
Co (0.0000, 0.5000, 0.5000) [2 per cell]  4 B 2.31, 2 Co 2.51
Co (0.1398, 0.5000, 0.9349) [4 per cell]  3 B 2.03-2.16
B (0.1467, 0.0000, 0.7542) [4 per cell]  3 Co 2.03-2.16

***

2.
A geometry-optimized Ce2Co5B2 structure, computed with PBE.

* energy relative to the lowest polymorph listed for this composition: 0.000 eV/atom
* energy relative to the elements: -439 meV/atom
* DOS(E_F): 0.7520 states/eV/atom

a b c (Å): 5.0833 5.0833 19.8686
angles (deg): 90.00 90.00 120.00
With the nearest neighbours (Å) after each atom.
Space group P6_3/mmc (No. 194)
Inequivalent atoms, fractional coordinates:
Ce (0.3333, 0.6667, 0.0189) [4 per cell]  12 Co 2.89-3.07, 4 Ce 3.03-3.05
Ce (0.3333, 0.6667, 0.1722) [4 per cell]  12 Co 2.87-2.97, 6 B 2.94, 2 Ce 3.05-3.09
Co (0.0000, 0.0000, 0.0000) [2 per cell]  6 Co 2.54
Co (0.1631, 0.3262, 0.6056) [12 per cell]  2 B 2.02-2.04
Co (0.1673, 0.3345, 0.7500) [6 per cell]  4 B 2.07-2.09
B (0.0000, 0.0000, 0.1771) [4 per cell]  6 Co 2.02-2.07
B (0.3333, 0.6667, 0.6749) [4 per cell]  6 Co 2.04-2.09

***

3.
A geometry-optimized CeCo3B3 structure, computed with PBE.

* energy relative to the elements: -152 meV/atom
* DOS(E_F): 1.1864 states/eV/atom

a b c (Å): 5.5219 5.5219 5.5219
angles (deg): 90.00 90.00 90.00
With the nearest neighbours (Å) after each atom.
Space group Pm-3n (No. 223)
Inequivalent atoms, fractional coordinates:
Ce (0.0000, 0.0000, 0.0000) [2 per cell]  12 Co 3.09, 12 B 3.09
Co (0.0000, 0.2500, 0.5000) [6 per cell]  4 B 1.95
B (0.0000, 0.5000, 0.2500) [6 per cell]  4 Co 1.95

***

4.
A geometry-optimized Ce2Co5B4 structure, computed with PBE.

* energy relative to the elements: -440 meV/atom
* DOS(E_F): 0.6784 states/eV/atom

a b c (Å): 9.7450 5.0197 6.7426
angles (deg): 90.00 127.52 90.00
With the nearest neighbours (Å) after each atom.
Space group C2/m (No. 12)
Inequivalent atoms, fractional coordinates:
Ce (0.2157, 0.0000, 0.1485) [4 per cell]  10 Co 2.83-3.14, 6 B 2.84-3.02
Co (0.0000, 0.5000, 0.0000) [2 per cell]  2 B 2.03
Co (0.0692, 0.2536, 0.3758) [8 per cell]  4 B 2.02-2.13
B (0.1042, 0.0000, 0.6494) [4 per cell]  2 B 1.70-1.79
B (0.2231, 0.5000, 0.3546) [4 per cell]  1 B 1.70